[1]
First-principles (PBE-GGA) data for crystalline CaCo2Ir2 at its relaxed geometry, as listed in the Alexandria database.

## Properties
Crystal system = tetragonal

Cell lengths 7.4303, 7.4303, 2.7084 Å; angles 90.00, 90.00, 90.00 degrees
Closest atoms and distances in Å follow each position.
Space group P4/mbm (No. 127)
Asymmetric unit:
Ca: 0.0000 0.0000 0.0000  2 Ca 2.71, 4 Co 2.97
Co: 0.1187 0.3813 0.0000  3 Co 2.49-2.71, 6 Ir 2.56-2.60
Ir: 0.1746 0.6746 0.5000  6 Co 2.56-2.60, 2 Ir 2.71

=====

[2]
First-principles (PBE-GGA) data for crystalline CaCoIr2 at its relaxed geometry, as listed in the Alexandria database.

## Properties
Crystal system = tetragonal

Cell lengths 3.9452, 3.9452, 4.0337 Å; angles 90.00, 90.00, 90.00 degrees
Closest atoms and distances in Å follow each position.
Space group P4/mmm (No. 123)
Asymmetric unit:
Ca: 0.0000 0.0000 0.0000  4 Co 2.79, 8 Ir 2.82
Co: 0.5000 0.5000 0.0000  4 Ca 2.79, 8 Ir 2.82
Ir: 0.0000 0.5000 0.5000  4 Ir 2.79, 4 Co 2.82, 4 Ca 2.82

=====

[3]
First-principles (PBE-GGA) data for crystalline Ca2CoIr at its relaxed geometry, as listed in the Alexandria database.

## Properties
Crystal system = orthorhombic

Cell lengths 6.5520, 7.2064, 3.4175 Å; angles 90.00, 90.00, 90.00 degrees
Closest atoms and distances in Å follow each position.
Space group Cmmm (No. 65)
Asymmetric unit:
Ca: 0.2500 0.2500 0.0000  4 Co 2.97, 4 Ir 2.97, 2 Ca 3.28
Co: 0.0000 0.0000 0.5000  8 Ca 2.97, 2 Ir 3.28
Ir: 0.0000 0.5000 0.5000  8 Ca 2.97, 2 Co 3.28

=====

[4]
First-principles (PBE-GGA) data for crystalline CaCoIr2 at its relaxed geometry, as listed in the Alexandria database.

## Properties
Crystal system = cubic

Cell lengths 6.3704, 6.3704, 6.3704 Å; angles 90.00, 90.00, 90.00 degrees
Closest atoms and distances in Å follow each position.
Space group F-43m (No. 216)
Asymmetric unit:
Ca: 0.0000 0.0000 0.0000  4 Co 2.76, 4 Ir 2.76
Co: 0.2500 0.2500 0.7500  4 Ir 2.76, 4 Ca 2.76
Ir: 0.0000 0.0000 0.5000  4 Ir 2.76, 4 Co 2.76
Ir: 0.2500 0.2500 0.2500  4 Ca 2.76, 4 Ir 2.76

=====

[5]
First-principles (PBE-GGA) data for crystalline Ca2CoIr at its relaxed geometry, as listed in the Alexandria database.

## Properties
Crystal system = orthorhombic

Cell lengths 4.0050, 4.7573, 9.3686 Å; angles 90.00, 90.00, 90.00 degrees
Closest atoms and distances in Å follow each position.
Space group Imm2 (No. 44)
Asymmetric unit:
Ca: 0.0000 0.0000 0.0000  2 Co 3.02, 4 Ca 3.14-3.31, 4 Ir 3.20
Ca: 0.0000 0.5000 0.2184  2 Ir 3.04, 4 Ca 3.14-3.31, 4 Co 3.21
Co: 0.0000 0.5000 0.8014  2 Ir 2.29
Ir: 0.0000 0.0000 0.4211  2 Co 2.29

=====

[6]
First-principles (PBE-GGA) data for crystalline CaCoIr2 at its relaxed geometry, as listed in the Alexandria database.

## Properties
Crystal system = tetragonal

Cell lengths 4.6520, 4.6520, 16.2837 Å; angles 90.00, 90.00, 90.00 degrees
Closest atoms and distances in Å follow each position.
Space group I-42d (No. 122)
Asymmetric unit:
Ca: 0.0000 0.0000 0.0000  4 Ir 3.04, 4 Co 3.29
Co: 0.0000 0.0000 0.5000  4 Ir 2.38
Ir: 0.0845 0.2500 0.6250  2 Co 2.38, 2 Ir 2.46

=====

[7]
First-principles (PBE-GGA) data for crystalline Ca2CoIr at its relaxed geometry, as listed in the Alexandria database.

## Properties
Crystal system = orthorhombic

Cell lengths 4.1877, 4.4293, 10.0611 Å; angles 90.00, 90.00, 90.00 degrees
Closest atoms and distances in Å follow each position.
Space group Amm2 (No. 38)
Asymmetric unit:
Ca: 0.0000 0.0000 0.0000  3 Co 2.91-3.14, 4 Ir 3.19
Ca: 0.5000 0.0000 0.2862  3 Ir 2.94-3.09, 4 Co 3.20
Co: 0.0000 0.0000 0.6883  2 Ir 2.30
Ir: 0.5000 0.0000 0.5938  2 Co 2.30

=====

[8]
First-principles (PBE-GGA) data for crystalline CaCoIr at its relaxed geometry, as listed in the Alexandria database.

## Properties
Crystal system = trigonal

Cell lengths 2.9172, 2.9172, 6.8289 Å; angles 90.00, 90.00, 120.00 degrees
Closest atoms and distances in Å follow each position.
Space group P3m1 (No. 156)
Asymmetric unit:
Ca: 0.0000 0.0000 0.0000  6 Ca 2.92, 3 Ir 2.95, 3 Co 2.96
Co: 0.6667 0.3333 0.3569  3 Ir 2.59
Ir: 0.3333 0.6667 0.6450  3 Co 2.59

=====

Across the entries above, energy of formation from the pure elements takes the values 0.004 0.242 0.197 0.333 0.007 0.360 -0.124 0.516 eV/atom, respectively.
Across the entries above, uncorrected energy takes the values -67.83 -25.86 -38.36 -101.99 -39.88 -101.56 -40.94 -16.42 eV for the cell shown, respectively.